Density functional theory data (GGA+U) for a geometry-optimized Fe3NiP4O16 structure.

Summary:
crystal system = monoclinic
M_tot = 6.1 μB/cell
E_tot = -6.8610 eV per atom
Fermi-level density of states = 11.413 states/eV/cell

a = 5.8633 Å, b = 4.8636 Å, c = 9.9532 Å
α = 89.86°, β = 90.00°, γ = 90.00°
Last column: nearest neighbours and their distance in Å.
Element x y z (fractional)
P  0.5000  0.4018  0.9053  4 O 1.52-1.58
P  0.5000  0.1016  0.4050  4 O 1.52-1.58
P  0.0000  0.5954  0.0979  4 O 1.54-1.57
P  0.0000  0.9029  0.5936  4 O 1.52-1.59
O  0.0000  0.2814  0.1154  1 P 1.54
O  0.2971  0.2554  0.3328  1 P 1.58
O  0.7045  0.2543  0.8304  1 P 1.58
O  0.0000  0.2121  0.6196  1 P 1.53
O  0.2073  0.7387  0.1682  1 P 1.57
O  0.0000  0.6507  0.9455  1 P 1.54
O  0.7962  0.7546  0.6697  1 P 1.59
O  0.5000  0.3386  0.0553  1 P 1.52
O  0.2955  0.2543  0.8304  1 P 1.58
O  0.0000  0.8384  0.4441  1 P 1.52
O  0.5000  0.7934  0.3784  1 P 1.52
O  0.2038  0.7546  0.6697  1 P 1.59
O  0.7029  0.2554  0.3328  1 P 1.58
O  0.7927  0.7387  0.1682  1 P 1.57
O  0.5000  0.7110  0.8798  1 P 1.52
O  0.5000  0.1548  0.5565  1 P 1.53
Fe  0.5000  0.5458  0.2250  6 O 1.95-2.13
Fe  0.0000  0.4542  0.7738  6 O 1.94-2.15
Fe  0.5000  0.9546  0.7255  6 O 1.94-2.16
Ni  0.0000  0.0573  0.2775  4 O 1.95-2.07